[1]
VASP calculation (PBE) on a relaxed Pm5C2O crystal.

Values from the calculation:
The space group is Cmcm. The calculation puts the final energy at -6.576 eV per atom.

Cell lengths 6.4130, 6.4130, 11.9693 Å; angles 90.00, 90.00, 132.38 degrees
Closest atoms and distances in Å follow each position.
Fractional coordinates of all 16 atoms:
Pm 0.0522 0.9478 0.6220  2 C 2.51-2.55, 1 O 2.56
Pm 0.0522 0.9478 0.8780  2 C 2.51-2.55, 1 O 2.56
Pm 0.2565 0.7435 0.2500  2 C 2.55, 2 O 2.60
Pm 0.3372 0.6629 0.5693  1 O 2.52, 3 C 2.59-2.63
Pm 0.3372 0.6629 0.9307  1 O 2.52, 3 C 2.59-2.63
Pm 0.6629 0.3372 0.0693  1 O 2.52, 3 C 2.59-2.63
Pm 0.6629 0.3372 0.4307  1 O 2.52, 3 C 2.59-2.63
Pm 0.7435 0.2565 0.7500  2 C 2.55, 2 O 2.60
Pm 0.9478 0.0522 0.1220  2 C 2.51-2.55, 1 O 2.56
Pm 0.9478 0.0522 0.3780  2 C 2.51-2.55, 1 O 2.56
C 0.1564 0.8436 0.0611  6 Pm 2.51-2.63
C 0.1564 0.8436 0.4389  6 Pm 2.51-2.63
C 0.8436 0.1564 0.5611  6 Pm 2.51-2.63
C 0.8436 0.1564 0.9389  6 Pm 2.51-2.63
O 0.2266 0.7734 0.7500  6 Pm 2.52-2.60
O 0.7734 0.2266 0.2500  6 Pm 2.52-2.60



[2]
VASP calculation (PBE) on a relaxed Pm3CO crystal.

Values from the calculation:
The space group is C2/m. The calculation puts the final energy at -6.791 eV per atom. The calculation puts the distance to the lowest polymorph of the same formula at 37 meV/atom.

Cell lengths 6.5580, 6.5580, 6.6388 Å; angles 100.01, 100.01, 122.36 degrees
Closest atoms and distances in Å follow each position.
Fractional coordinates of all 10 atoms:
Pm 0.0754 0.4150 0.7263  1 O 2.34, 2 C 2.57-2.61
Pm 0.2366 0.2366 0.2542  2 O 2.31-2.46
Pm 0.4150 0.0754 0.7263  1 O 2.34, 2 C 2.57-2.61
Pm 0.5850 0.9246 0.2737  1 O 2.34, 2 C 2.57-2.61
Pm 0.7634 0.7634 0.7458  2 O 2.31-2.46
Pm 0.9246 0.5850 0.2737  1 O 2.34, 2 C 2.57-2.61
C 0.3396 0.6604 0.5000  6 Pm 2.57-2.62
C 0.6604 0.3396 0.5000  6 Pm 2.57-2.62
O 0.1802 0.1802 0.8908  4 Pm 2.31-2.46
O 0.8198 0.8198 0.1092  4 Pm 2.31-2.46



[3]
VASP calculation (PBE) on a relaxed Pm5CO5 crystal.

Values from the calculation:
The space group is C2/m. The calculation puts the final energy at -7.770 eV per atom.

Cell lengths 6.2037, 6.2037, 7.1348 Å; angles 107.20, 107.20, 47.12 degrees
Closest atoms and distances in Å follow each position.
Fractional coordinates of all 11 atoms:
Pm 0.0000 0.0000 0.0000  2 C 2.48, 4 O 2.52-2.58
Pm 0.3344 0.3344 0.6660  5 O 2.49-2.53, 1 C 2.52
Pm 0.3444 0.3444 0.1807  5 O 2.39-2.50, 1 C 2.50
Pm 0.6556 0.6556 0.8193  5 O 2.39-2.50, 1 C 2.50
Pm 0.6656 0.6656 0.3340  5 O 2.49-2.53, 1 C 2.52
C 0.5000 0.5000 0.0000  6 Pm 2.48-2.52
O 0.1781 0.1781 0.3218  5 Pm 2.41-2.52
O 0.1812 0.1812 0.8564  5 Pm 2.46-2.58
O 0.5000 0.5000 0.5000  4 Pm 2.39-2.53
O 0.8188 0.8188 0.1436  5 Pm 2.46-2.58
O 0.8219 0.8219 0.6782  5 Pm 2.41-2.52



[4]
VASP calculation (PBE) on a relaxed Pm3CO crystal.

Values from the calculation:
The space group is P-6c2. The calculation puts the final energy at -6.828 eV per atom. The calculation puts the distance to the lowest polymorph of the same formula at 0 meV/atom.

Cell lengths 6.2435, 6.2435, 6.2712 Å; angles 90.00, 90.00, 120.00 degrees
Closest atoms and distances in Å follow each position.
Fractional coordinates of all 10 atoms:
Pm 0.0041 0.3611 0.2500  2 C 2.53, 2 O 2.56
Pm 0.0041 0.6430 0.7500  2 C 2.53, 2 O 2.56
Pm 0.3570 0.3611 0.7500  2 C 2.53, 2 O 2.56
Pm 0.3570 0.9959 0.2500  2 C 2.53, 2 O 2.56
Pm 0.6389 0.6430 0.2500  2 C 2.53, 2 O 2.56
Pm 0.6389 0.9959 0.7500  2 C 2.53, 2 O 2.56
C 0.3333 0.6667 0.0000  6 Pm 2.53
C 0.3333 0.6667 0.5000  6 Pm 2.53
O 0.6667 0.3333 0.0000  6 Pm 2.56
O 0.6667 0.3333 0.5000  6 Pm 2.56



[5]
VASP calculation (PBE) on a relaxed Pm6CO12 crystal.

Values from the calculation:
The space group is R-3. The calculation puts the final energy at -7.542 eV per atom.

Cell lengths 6.5669, 6.5669, 6.5669 Å; angles 98.90, 98.90, 98.90 degrees
Closest atoms and distances in Å follow each position.
Fractional coordinates of all 19 atoms:
Pm 0.1038 0.7989 0.6429  4 O 2.26-2.36
Pm 0.2011 0.3571 0.8962  4 O 2.26-2.36
Pm 0.3571 0.8962 0.2011  4 O 2.26-2.36
Pm 0.6429 0.1038 0.7989  4 O 2.26-2.36
Pm 0.7989 0.6429 0.1038  4 O 2.26-2.36
Pm 0.8962 0.2011 0.3571  4 O 2.26-2.36
C 0.5000 0.5000 0.5000  6 O 1.70
O 0.0547 0.9025 0.3231  4 Pm 2.26-2.36
O 0.0975 0.6769 0.9453  4 Pm 2.26-2.36
O 0.2437 0.4378 0.5219  1 C 1.70
O 0.3231 0.0547 0.9025  4 Pm 2.26-2.36
O 0.4378 0.5219 0.2437  1 C 1.70
O 0.4781 0.7563 0.5622  1 C 1.70
O 0.5219 0.2437 0.4378  1 C 1.70
O 0.5622 0.4781 0.7563  1 C 1.70
O 0.6769 0.9453 0.0975  4 Pm 2.26-2.36
O 0.7563 0.5622 0.4781  1 C 1.70
O 0.9025 0.3231 0.0547  4 Pm 2.26-2.36
O 0.9453 0.0975 0.6769  4 Pm 2.26-2.36



[6]
VASP calculation (PBE) on a relaxed Pm2CO crystal.

Values from the calculation:
The space group is C2/c. The calculation puts the final energy at -7.450 eV per atom. The calculation puts the distance to the lowest polymorph of the same formula at 0 meV/atom.

Cell lengths 8.1496, 8.1496, 6.3249 Å; angles 104.80, 104.80, 126.97 degrees
Closest atoms and distances in Å follow each position.
Fractional coordinates of all 16 atoms:
Pm 0.0631 0.4379 0.7541  3 C 2.56-2.57, 3 O 2.60-2.61
Pm 0.1854 0.3101 0.2458  3 O 2.56-2.62, 3 C 2.57-2.58
Pm 0.3101 0.1854 0.7458  3 O 2.56-2.62, 3 C 2.57-2.58
Pm 0.4379 0.0631 0.2541  3 C 2.56-2.57, 3 O 2.60-2.61
Pm 0.5621 0.9369 0.7459  3 C 2.56-2.57, 3 O 2.60-2.61
Pm 0.6899 0.8146 0.2542  3 O 2.56-2.62, 3 C 2.57-2.58
Pm 0.8146 0.6899 0.7542  3 O 2.56-2.62, 3 C 2.57-2.58
Pm 0.9369 0.5621 0.2459  3 C 2.56-2.57, 3 O 2.60-2.61
C 0.0629 0.9371 0.2500  6 Pm 2.56-2.58
C 0.3124 0.6876 0.2500  6 Pm 2.57-2.58
C 0.6876 0.3124 0.7500  6 Pm 2.57-2.58
C 0.9371 0.0629 0.7500  6 Pm 2.56-2.58
O 0.1858 0.8142 0.7500  6 Pm 2.56-2.61
O 0.4392 0.5608 0.7500  6 Pm 2.56-2.62
O 0.5608 0.4392 0.2500  6 Pm 2.56-2.62
O 0.8142 0.1858 0.2500  6 Pm 2.56-2.61



[7]
VASP calculation (PBE) on a relaxed Pm4CO4 crystal.

Values from the calculation:
The space group is I-42m. The calculation puts the final energy at -7.494 eV per atom.

Cell lengths 6.7269, 6.7269, 6.7269 Å; angles 128.98, 128.98, 75.04 degrees
Closest atoms and distances in Å follow each position.
Fractional coordinates of all 9 atoms:
Pm 0.1634 0.1634 0.5619  1 C 2.19, 3 O 2.42-2.45
Pm 0.3985 0.8366 0.0000  1 C 2.19, 3 O 2.42-2.45
Pm 0.6015 0.6015 0.4381  1 C 2.19, 3 O 2.42-2.45
Pm 0.8366 0.3985 0.0000  1 C 2.19, 3 O 2.42-2.45
C 0.5000 0.5000 0.0000  4 Pm 2.19
O 0.0000 0.5000 0.5000  4 Pm 2.42
O 0.2268 0.2268 0.0000  4 Pm 2.45-2.58
O 0.5000 0.0000 0.5000  4 Pm 2.42
O 0.7732 0.7732 0.0000  4 Pm 2.45-2.58



[8]
VASP calculation (PBE) on a relaxed Pm3CO6 crystal.

Values from the calculation:
The space group is Cmc2_1. The calculation puts the final energy at -7.947 eV per atom.

Cell lengths 7.2263, 7.2263, 5.9623 Å; angles 90.00, 90.00, 102.31 degrees
Closest atoms and distances in Å follow each position.
Fractional coordinates of all 20 atoms:
Pm 0.0991 0.9009 0.5000  5 O 2.27-2.38
Pm 0.1847 0.4097 0.5240  4 O 2.27-2.43
Pm 0.4097 0.1847 0.0240  4 O 2.27-2.43
Pm 0.5903 0.8153 0.5240  4 O 2.27-2.43
Pm 0.8153 0.5903 0.0240  4 O 2.27-2.43
Pm 0.9009 0.0991 0.0000  5 O 2.27-2.38
C 0.3158 0.6842 0.1840  3 O 1.33-1.34
C 0.6842 0.3158 0.6840  3 O 1.33-1.34
O 0.1298 0.6158 0.1840  1 C 1.33
O 0.1520 0.1697 0.2581  4 Pm 2.31-2.38
O 0.1697 0.1520 0.7581  4 Pm 2.31-2.38
O 0.2864 0.7136 0.6399  3 Pm 2.27
O 0.3842 0.8702 0.1840  1 C 1.33
O 0.4340 0.5660 0.2165  1 C 1.34
O 0.5660 0.4340 0.7165  1 C 1.34
O 0.6158 0.1298 0.6840  1 C 1.33
O 0.7136 0.2864 0.1399  3 Pm 2.27
O 0.8303 0.8480 0.2581  4 Pm 2.31-2.38
O 0.8480 0.8303 0.7581  4 Pm 2.31-2.38
O 0.8702 0.3842 0.6840  1 C 1.33



Question: What is the final energy in the eighth record?
Answer: -7.947 eV per atom